1.
Entry from the Alexandria database: a relaxed structure of Tb3Nd3Ho4 (PBE).

Cell lengths 3.688, 9.480, 9.480 Å; angles 89.77, 90.00, 90.00 degrees
Sites, in units of the cell vectors:
Tb (0.000, 0.000, 0.000)
Tb (0.500, 0.321, 0.827)
Tb (0.500, 0.827, 0.321)
Nd (0.000, 0.151, 0.499)
Nd (0.000, 0.499, 0.151)
Nd (0.000, 0.652, 0.652)
Ho (0.500, 0.200, 0.200)
Ho (0.500, 0.450, 0.450)
Ho (0.500, 0.704, 0.952)
Ho (0.500, 0.952, 0.704)

Summary:
* M_tot: 0.00 μB per formula unit
* ΔE_f: 0.96 eV per formula unit
* space group: No. 38
* DOS(E_F): 0.792 states/eV/atom


2.
Entry from the Alexandria database: a relaxed structure of Tb7NdHo4 (PBE).

Cell lengths 6.211, 7.174, 8.839 Å; angles 90.02, 103.53, 90.01 degrees
Sites, in units of the cell vectors:
Tb (0.000, 0.000, 0.000)
Tb (0.222, 0.500, 0.665)
Tb (0.279, 0.248, 0.336)
Tb (0.500, 0.248, 0.000)
Tb (0.500, 0.752, 0.000)
Tb (0.721, 0.752, 0.664)
Tb (0.778, 0.500, 0.335)
Nd (0.000, 0.500, 0.000)
Ho (0.220, 0.000, 0.665)
Ho (0.279, 0.751, 0.335)
Ho (0.721, 0.249, 0.665)
Ho (0.780, 0.000, 0.335)

Summary:
* energy above the most stable polymorph in this dataset: 0 meV per atom
* M_tot: 0.00 μB per formula unit
* ΔE_f: -0.03 eV per formula unit
* space group: No. 2
* DOS(E_F): 1.278 states/eV/atom


3.
Entry from the Alexandria database: a relaxed structure of TbNd4Ho5 (PBE).

Cell lengths 3.601, 3.601, 25.223 Å; angles 90.00, 90.00, 90.00 degrees
Sites, in units of the cell vectors:
Tb (0.000, 0.000, 0.000)
Nd (0.000, 0.000, 0.199)
Nd (0.000, 0.000, 0.400)
Nd (0.000, 0.000, 0.600)
Nd (0.000, 0.000, 0.801)
Ho (0.500, 0.500, 0.098)
Ho (0.500, 0.500, 0.299)
Ho (0.500, 0.500, 0.500)
Ho (0.500, 0.500, 0.701)
Ho (0.500, 0.500, 0.902)

Summary:
* energy above the most stable polymorph in this dataset: 0 meV per atom
* M_tot: 0.00 μB per formula unit
* ΔE_f: 0.19 eV per formula unit
* space group: No. 123
* DOS(E_F): 1.383 states/eV/atom


4.
Entry from the Alexandria database: a relaxed structure of Tb7NdHo5 (PBE).

Cell lengths 8.694, 8.694, 8.694 Å; angles 134.83, 100.45, 96.53 degrees
Sites, in units of the cell vectors:
Tb (0.000, 0.000, 0.000)
Tb (0.000, 0.500, 0.500)
Tb (0.078, 0.749, 0.329)
Tb (0.305, 0.305, 0.000)
Tb (0.419, 0.749, 0.671)
Tb (0.578, 0.248, 0.329)
Tb (0.919, 0.248, 0.671)
Nd (0.696, 0.696, 0.000)
Ho (0.268, 0.264, 0.536)
Ho (0.268, 0.732, 0.004)
Ho (0.497, 0.997, 0.500)
Ho (0.728, 0.264, 0.996)
Ho (0.728, 0.732, 0.464)

Summary:
* energy above the most stable polymorph in this dataset: 0 meV per atom
* M_tot: 0.00 μB per formula unit
* ΔE_f: 3.18 eV per formula unit
* space group: No. 44
* DOS(E_F): 1.802 states/eV/atom


Question: DOS(E_F) of number 2 (Tb7NdHo4)?
Answer: 1.278 states/eV/atom


Question: The lowest DOS(E_F) belongs to which entry?
Answer: Tb3Nd3Ho4


Question: Number 3 is which compound?
Answer: TbNd4Ho5